BaSmTc2O8 after structural relaxation. Source: Alexandria, functional GGA-PBE.

POSCAR file:
```
BaSmTc2O8
1.0
5.969 0.000 0.000
-2.985 5.170 0.000
0.000 0.000 7.696
Ba Sm Tc O
1 1 2 8
direct
0.000 0.000 0.000
0.000 0.000 0.500
0.333 0.667 0.778
0.667 0.333 0.222
0.166 0.332 0.703
0.166 0.834 0.703
0.332 0.166 0.297
0.333 0.667 0.009
0.667 0.333 0.991
0.668 0.834 0.703
0.834 0.166 0.297
0.834 0.668 0.297
```

Values from the calculation:
ΔE_f (raw), meV/atom: -2048.8
Final energy, eV/atom: -7.635
Magnetization, μB per formula unit: 3.0
DOS at the Fermi energy, states/eV/atom: 0.72
Calculated density, kg/m³: 4277